Below is a crystal of K2PbAu relaxed with PBEsol, with properties calculated at the meta-GGA SCAN level.

a b c (Å): 4.226 4.328 6.725
angles (deg): 90.00 90.06 90.00
Sites, in units of the cell vectors:
1 Au 0.500 0.500 0.500
2 K 0.001 0.000 0.270
3 K 0.999 0.000 0.730
4 Pb 0.500 0.500 0.000

Space-group type: P2/m (10)
Total magnetization in μB/cell: 0.0
Formation energy in eV/atom: -0.230

---

Below is a crystal of SrCaOs2 relaxed with PBEsol, with properties calculated at the meta-GGA SCAN level.

a b c (Å): 4.774 4.774 4.774
angles (deg): 60.00 60.00 60.00
Sites, in units of the cell vectors:
1 Sr 0.500 0.500 0.500
2 Os 0.000 0.000 0.000
3 Os 0.750 0.750 0.750
4 Ca 0.250 0.250 0.250

Relative energy among the computed polymorphs in meV per atom: 0.0
Space-group type: F-43m (216)
Total magnetization in μB/cell: 0.0
Formation energy in eV/atom: 0.883

---

Below is a crystal of LiTcSb2 relaxed with PBEsol, with properties calculated at the meta-GGA SCAN level.

a b c (Å): 3.345 4.611 4.611
angles (deg): 90.00 90.00 90.00
Sites, in units of the cell vectors:
1 Tc 0.500 0.500 0.500
2 Sb 0.000 0.000 0.500
3 Sb 0.000 0.500 0.000
4 Li 0.500 0.000 0.000

Relative energy among the computed polymorphs in meV per atom: 290.7
Space-group type: P4/mmm (123)
Total magnetization in μB/cell: 0.0

---

Below is a crystal of CaIn2Au relaxed with PBEsol, with properties calculated at the meta-GGA SCAN level.

a b c (Å): 3.788 4.263 6.293
angles (deg): 90.00 107.69 90.00
Sites, in units of the cell vectors:
1 Au 0.831 0.000 0.538
2 In 0.680 0.500 0.234
3 In 0.077 0.000 0.029
4 Ca 0.412 0.500 0.699

Space-group type: Pm (6)
Total magnetization in μB/cell: 0.0
Formation energy in eV/atom: -0.530

---

Below is a crystal of CsCl relaxed with PBEsol, with properties calculated at the meta-GGA SCAN level.

a b c (Å): 4.067 4.067 4.067
angles (deg): 90.00 90.00 90.00
Sites, in units of the cell vectors:
1 Cs 0.000 0.000 0.000
2 Cl 0.500 0.500 0.500

E in eV for the cell shown: -50.173
Space-group type: Pm-3m (221)
Total magnetization in μB/cell: 0.0

---

Below is a crystal of Ca2ZnIn relaxed with PBEsol, with properties calculated at the meta-GGA SCAN level.

a b c (Å): 5.245 5.245 5.245
angles (deg): 60.00 60.00 60.00
Sites, in units of the cell vectors:
1 Zn 0.000 0.000 0.000
2 Ca 0.250 0.250 0.250
3 Ca 0.750 0.750 0.750
4 In 0.500 0.500 0.500

Space-group type: Fm-3m (225)
Total magnetization in μB/cell: 0.0
Formation energy in eV/atom: -0.447

---

Question: Number 4 is which compound?
Answer: CaIn2Au

---

Question: What is the total magnetization in the first record?
Answer: 0.0 μB/cell